(1)
# Pm3HgAu3 (PBE, relaxed)
# Calculated volume in Å³/atom: 25.2
# Formation energy in eV/atom: -0.5218
# Total magnetization in μB/f.u.: 0.0
# Energy in eV/cell: -56.077
data_Pm3HgAu3
_chemical_formula_sum 'Pm6 Hg2 Au6'
_cell_length_a 8.8566
_cell_length_b 8.8566
_cell_length_c 5.1900
_cell_angle_alpha 90.00
_cell_angle_beta 90.00
_cell_angle_gamma 120.00
_symmetry_space_group_name_H-M 'P 63/m'
_symmetry_Int_Tables_number 176
_symmetry_space_group_name_Hall '-P 6c'
loop_
_atom_site_label
_atom_site_type_symbol
_atom_site_fract_x
_atom_site_fract_y
_atom_site_fract_z
Pm1 Pm 0.0790 0.4245 0.2500
Hg1 Hg 0.3333 0.6667 0.7500
Au1 Au 0.0324 0.2242 0.7500

=====

(2)
# PmHgAu (PBE, relaxed)
# Calculated volume in Å³/atom: 25.2
# Formation energy in eV/atom: -0.5975
# Total magnetization in μB/f.u.: 0.0
# Energy in eV/cell: -40.489
data_PmHgAu
_chemical_formula_sum 'Pm4 Hg4 Au4'
_cell_length_a 9.567
_cell_length_b 3.968
_cell_length_c 7.952
_cell_angle_alpha 90.00
_cell_angle_beta 90.32
_cell_angle_gamma 90.00
_symmetry_space_group_name_H-M 'C 1 2/m 1'
_symmetry_Int_Tables_number 12
loop_
_symmetry_equiv_pos_as_xyz
'x,y,z'
'-x,-y,-z'
'-x,y,-z'
'x,-y,z'
'x+1/2,y+1/2,z'
'-x+1/2,-y+1/2,-z'
'-x+1/2,y+1/2,-z'
'x+1/2,-y+1/2,z'
loop_
_atom_site_label
_atom_site_type_symbol
_atom_site_fract_x
_atom_site_fract_y
_atom_site_fract_z
Pm1 Pm 0.063 0.000 0.227
Hg1 Hg 0.146 0.500 0.565
Au1 Au 0.146 0.500 0.942

=====

(3)
# Pm4Hg3Au (PBE, relaxed)
# Calculated volume in Å³/atom: 27.1
# Formation energy in eV/atom: -0.5521
# Total magnetization in μB/f.u.: 0.6
# Energy in eV/cell: -27.602
data_Pm4Hg3Au
_chemical_formula_sum 'Pm4 Hg3 Au1'
_cell_length_a 3.777
_cell_length_b 3.777
_cell_length_c 15.174
_cell_angle_alpha 90.00
_cell_angle_beta 90.00
_cell_angle_gamma 90.00
_symmetry_space_group_name_H-M 'P 4/m m m'
_symmetry_Int_Tables_number 123
_symmetry_space_group_name_Hall '-P 4 2'
loop_
_atom_site_label
_atom_site_type_symbol
_atom_site_fract_x
_atom_site_fract_y
_atom_site_fract_z
Pm1 Pm 0.000 0.000 0.117
Pm2 Pm 0.000 0.000 0.372
Hg1 Hg 0.500 0.500 0.248
Hg2 Hg 0.500 0.500 0.500
Au1 Au 0.500 0.500 0.000

=====

(4)
# Pm4Hg5Au2 (PBE, relaxed)
# Calculated volume in Å³/atom: 26.2
# Formation energy in eV/atom: -0.5277
# Total magnetization in μB/f.u.: 0.0
# Energy in eV/cell: -32.871
data_Pm4Hg5Au2
_chemical_formula_sum 'Pm4 Hg5 Au2'
_cell_length_a 7.845
_cell_length_b 3.700
_cell_length_c 9.983
_cell_angle_alpha 90.00
_cell_angle_beta 95.03
_cell_angle_gamma 90.00
_symmetry_space_group_name_H-M 'P 1 2/m 1'
_symmetry_Int_Tables_number 10
loop_
_symmetry_equiv_pos_as_xyz
'x,y,z'
'-x,-y,-z'
'-x,y,-z'
'x,-y,z'
loop_
_atom_site_label
_atom_site_type_symbol
_atom_site_fract_x
_atom_site_fract_y
_atom_site_fract_z
Pm1 Pm 0.181 0.000 0.369
Pm2 Pm 0.243 0.000 0.935
Hg1 Hg 0.171 0.500 0.646
Hg2 Hg 0.455 0.500 0.182
Hg3 Hg 0.500 0.500 0.500
Au1 Au 0.072 0.500 0.136

=====

(5)
# Pm3Hg4Au4 (PBE, relaxed)
# Calculated volume in Å³/atom: 23.8
# Formation energy in eV/atom: -0.5047
# Total magnetization in μB/f.u.: 0.0
# Energy in eV/cell: -34.120
data_Pm3Hg4Au4
_chemical_formula_sum 'Pm3 Hg4 Au4'
_cell_length_a 3.543
_cell_length_b 4.743
_cell_length_c 15.824
_cell_angle_alpha 81.45
_cell_angle_beta 83.72
_cell_angle_gamma 89.97
_symmetry_space_group_name_H-M 'P -1'
_symmetry_Int_Tables_number 2
loop_
_symmetry_equiv_pos_as_xyz
'x,y,z'
'-x,-y,-z'
loop_
_atom_site_label
_atom_site_type_symbol
_atom_site_fract_x
_atom_site_fract_y
_atom_site_fract_z
Pm1 Pm 0.000 0.000 0.000
Pm2 Pm 0.140 0.641 0.720
Hg1 Hg 0.265 0.265 0.469
Hg2 Hg 0.407 0.907 0.184
Au1 Au 0.319 0.818 0.364
Au2 Au 0.455 0.454 0.089

=====

(6)
# Pm2Hg8Au (PBE, relaxed)
# Calculated volume in Å³/atom: 25.6
# Formation energy in eV/atom: -0.2844
# Total magnetization in μB/f.u.: 0.0
# Energy in eV/cell: -18.321
data_Pm2Hg8Au
_chemical_formula_sum 'Pm2 Hg8 Au1'
_cell_length_a 4.783
_cell_length_b 4.783
_cell_length_c 12.310
_cell_angle_alpha 90.00
_cell_angle_beta 90.00
_cell_angle_gamma 90.00
_symmetry_space_group_name_H-M 'P 4/m m m'
_symmetry_Int_Tables_number 123
_symmetry_space_group_name_Hall '-P 4 2'
loop_
_atom_site_label
_atom_site_type_symbol
_atom_site_fract_x
_atom_site_fract_y
_atom_site_fract_z
Pm1 Pm 0.000 0.000 0.195
Hg1 Hg 0.000 0.500 0.000
Hg2 Hg 0.000 0.500 0.365
Hg3 Hg 0.500 0.500 0.176
Au1 Au 0.000 0.000 0.500

=====

(7)
# Pm7Hg2Au2 (PBE, relaxed)
# Calculated volume in Å³/atom: 31.7
# Formation energy in eV/atom: -0.2664
# Total magnetization in μB/f.u.: 0.0
# Energy in eV/cell: -86.686
data_Pm7Hg2Au2
_chemical_formula_sum 'Pm14 Hg4 Au4'
_cell_length_a 8.188
_cell_length_b 11.312
_cell_length_c 7.518
_cell_angle_alpha 90.00
_cell_angle_beta 90.00
_cell_angle_gamma 90.00
_symmetry_space_group_name_H-M 'C m m m'
_symmetry_Int_Tables_number 65
_symmetry_space_group_name_Hall '-C 2 2'
loop_
_atom_site_label
_atom_site_type_symbol
_atom_site_fract_x
_atom_site_fract_y
_atom_site_fract_z
Pm1 Pm 0.000 0.000 0.000
Pm2 Pm 0.000 0.500 0.258
Pm3 Pm 0.250 0.250 0.270
Hg1 Hg 0.176 0.000 0.500
Au1 Au 0.000 0.293 0.000

=====

(8)
# Pm2Hg2Au3 (PBE, relaxed)
# Calculated volume in Å³/atom: 25.1
# Formation energy in eV/atom: -0.4955
# Total magnetization in μB/f.u.: 0.0
# Energy in eV/cell: -46.812
data_Pm2Hg2Au3
_chemical_formula_sum 'Pm4 Hg4 Au6'
_cell_length_a 13.435
_cell_length_b 4.651
_cell_length_c 5.849
_cell_angle_alpha 90.00
_cell_angle_beta 105.60
_cell_angle_gamma 90.00
_symmetry_space_group_name_H-M 'C 1 2/m 1'
_symmetry_Int_Tables_number 12
loop_
_symmetry_equiv_pos_as_xyz
'x,y,z'
'-x,-y,-z'
'-x,y,-z'
'x,-y,z'
'x+1/2,y+1/2,z'
'-x+1/2,-y+1/2,-z'
'-x+1/2,y+1/2,-z'
'x+1/2,-y+1/2,z'
loop_
_atom_site_label
_atom_site_type_symbol
_atom_site_fract_x
_atom_site_fract_y
_atom_site_fract_z
Pm1 Pm 0.137 0.000 0.281
Hg1 Hg 0.109 0.500 0.644
Au1 Au 0.000 0.500 0.000
Au2 Au 0.236 0.000 0.832

=====

(9)
# Pm3Hg7Au2 (PBE, relaxed)
# Calculated volume in Å³/atom: 25.2
# Formation energy in eV/atom: -0.3393
# Total magnetization in μB/f.u.: 0.0
# Energy in eV/cell: -26.991
data_Pm3Hg7Au2
_chemical_formula_sum 'Pm3 Hg7 Au2'
_cell_length_a 4.858
_cell_length_b 3.924
_cell_length_c 16.060
_cell_angle_alpha 90.00
_cell_angle_beta 98.47
_cell_angle_gamma 90.00
_symmetry_space_group_name_H-M 'P 1 2/m 1'
_symmetry_Int_Tables_number 10
loop_
_symmetry_equiv_pos_as_xyz
'x,y,z'
'-x,-y,-z'
'-x,y,-z'
'x,-y,z'
loop_
_atom_site_label
_atom_site_type_symbol
_atom_site_fract_x
_atom_site_fract_y
_atom_site_fract_z
Pm1 Pm 0.000 0.000 0.000
Pm2 Pm 0.320 0.500 0.642
Hg1 Hg 0.077 0.500 0.153
Hg2 Hg 0.230 0.000 0.459
Hg3 Hg 0.409 0.000 0.824
Hg4 Hg 0.500 0.500 0.000
Au1 Au 0.148 0.000 0.287

=====

(10)
# Pm3Hg2Au3 (PBE, relaxed)
# Calculated volume in Å³/atom: 26.2
# Formation energy in eV/atom: -0.6112
# Total magnetization in μB/f.u.: 0.0
# Energy in eV/cell: -59.154
data_Pm3Hg2Au3
_chemical_formula_sum 'Pm6 Hg4 Au6'
_cell_length_a 8.9158
_cell_length_b 8.9158
_cell_length_c 6.0816
_cell_angle_alpha 90.00
_cell_angle_beta 90.00
_cell_angle_gamma 120.00
_symmetry_space_group_name_H-M 'P 63/m c m'
_symmetry_Int_Tables_number 193
_symmetry_space_group_name_Hall '-P 6c 2'
loop_
_atom_site_label
_atom_site_type_symbol
_atom_site_fract_x
_atom_site_fract_y
_atom_site_fract_z
Pm1 Pm 0.0000 0.3013 0.2500
Hg1 Hg 0.3333 0.6667 0.0000
Au1 Au 0.0000 0.3583 0.7500

=====

(11)
# Pm6HgAu (PBE, relaxed)
# Calculated volume in Å³/atom: 30.5
# Formation energy in eV/atom: -0.2898
# Total magnetization in μB/f.u.: 0.0
# Energy in eV/cell: -68.802
data_Pm6HgAu
_chemical_formula_sum 'Pm12 Hg2 Au2'
_cell_length_a 5.244
_cell_length_b 5.244
_cell_length_c 17.745
_cell_angle_alpha 90.00
_cell_angle_beta 90.00
_cell_angle_gamma 90.00
_symmetry_space_group_name_H-M 'I 4/m m m'
_symmetry_Int_Tables_number 139
_symmetry_space_group_name_Hall '-I 4 2'
loop_
_atom_site_label
_atom_site_type_symbol
_atom_site_fract_x
_atom_site_fract_y
_atom_site_fract_z
Pm1 Pm 0.000 0.000 0.249
Pm2 Pm 0.000 0.500 0.107
Hg1 Hg 0.000 0.000 0.000
Au1 Au 0.000 0.000 0.500

=====

(12)
# Pm3HgAu (PBE, relaxed)
# Calculated volume in Å³/atom: 31.6
# Formation energy in eV/atom: -0.3353
# Total magnetization in μB/f.u.: 0.0
# Energy in eV/cell: -78.030
data_Pm3HgAu
_chemical_formula_sum 'Pm12 Hg4 Au4'
_cell_length_a 3.985
_cell_length_b 9.997
_cell_length_c 15.870
_cell_angle_alpha 90.00
_cell_angle_beta 90.00
_cell_angle_gamma 90.00
_symmetry_space_group_name_H-M 'A m m 2'
_symmetry_Int_Tables_number 38
loop_
_symmetry_equiv_pos_as_xyz
'x,y,z'
'-x,-y,z'
'-x,y,z'
'x,-y,z'
'x,y+1/2,z+1/2'
'-x,-y+1/2,z+1/2'
'-x,y+1/2,z+1/2'
'x,-y+1/2,z+1/2'
loop_
_atom_site_label
_atom_site_type_symbol
_atom_site_fract_x
_atom_site_fract_y
_atom_site_fract_z
Pm1 Pm 0.000 0.000 0.000
Pm2 Pm 0.000 0.000 0.311
Pm3 Pm 0.500 0.195 0.544
Pm4 Pm 0.500 0.195 0.767
Hg1 Hg 0.000 0.000 0.655
Hg2 Hg 0.500 0.000 0.156
Au1 Au 0.000 0.250 0.405

=====

Q: What is the formation energy in the twelfth record?
A: -0.3353 eV/atom

=====

Q: Number 3 is which compound?
A: Pm4Hg3Au

=====

Q: Which of these has the lowest formation energy?
A: Pm3Hg2Au3

=====

Q: Which of these has the highest energy?
A: Pm2Hg8Au